Entry 1:
First-principles (PBE-GGA) data for an optimized crystal structure of YCd2Mo, as listed in Alexandria via LeMat-Bulk.

The structure in POSCAR format:
```
YCd2Mo
1.0
-5.2007 1.9012 0.0721
-3.7982 -4.0132 0.3668
4.6061 1.2326 2.8163
Cd Mo Y
2 1 1
Direct
0.2500 0.7500 0.5000
0.0000 0.0000 0.0000
0.5000 0.5000 0.0000
0.7500 0.2500 0.5000
```

Results
As for the crystal system: tetragonal. Its space group is I-4m2 (119). As for the offset from the most stable computed form: 0.0908 eV/atom. The energy of formation from the pure elements is 0.29 eV per atom.

***

Entry 2:
First-principles (PBE-GGA) data for an optimized crystal structure of YTlTe, as listed in Alexandria via LeMat-Bulk.

The structure in POSCAR format:
```
YTlTe
1.0
5.2144 0.0000 0.0000
2.6072 4.5158 0.0000
2.6072 1.5053 4.2575
Te Y Tl
1 1 1
Direct
0.0000 0.0000 0.0000
0.7500 0.7500 0.7500
0.5000 0.5000 0.5000
```

Results
As for the crystal system: cubic. Its space group is F-43m (216). As for the offset from the most stable computed form: 0.3449 eV/atom.

***

Entry 3:
First-principles (PBE-GGA) data for an optimized crystal structure of LaNb2Ru2, as listed in Alexandria via LeMat-Bulk.

The structure in POSCAR format:
```
LaNb2Ru2
1.0
7.9110 0.0000 0.0000
0.0000 7.9110 0.0000
0.0000 0.0000 2.9998
Nb La Ru
4 2 4
Direct
0.1449 0.3551 0.0000
0.8551 0.6449 0.0000
0.3551 0.8551 0.0000
0.6449 0.1449 0.0000
0.0000 0.0000 0.0000
0.5000 0.5000 0.0000
0.8580 0.3580 0.5000
0.3580 0.1420 0.5000
0.1420 0.6420 0.5000
0.6420 0.8580 0.5000
```

Results
As for the crystal system: tetragonal. Its space group is P4/mbm (127). As for the offset from the most stable computed form: 0.1769 eV/atom. The energy of formation from the pure elements is -0.04 eV per atom.

***

Entry 4:
First-principles (PBE-GGA) data for an optimized crystal structure of YZn2Br, as listed in Alexandria via LeMat-Bulk.

The structure in POSCAR format:
```
YZn2Br
1.0
-2.2956 -3.6130 2.5160
-1.7285 -3.9867 -2.4026
2.2115 -4.4063 0.5898
Zn Y Br
2 1 1
Direct
0.7500 0.7500 0.7500
0.0000 0.0000 0.0000
0.2500 0.2500 0.2500
0.5000 0.5000 0.5000
```

Results
As for the crystal system: cubic. Its space group is F-43m (216). As for the offset from the most stable computed form: 0.2212 eV/atom.

***

Entry 5:
First-principles (PBE-GGA) data for an optimized crystal structure of TiNb6B4, as listed in Alexandria via LeMat-Bulk.

The structure in POSCAR format:
```
TiNb6B4
1.0
-1.1056 3.8998 -4.5120
-4.5794 -1.5702 3.6540
3.4405 1.8460 4.6415
Ti Nb B
1 6 4
Direct
0.0000 0.0000 0.0000
0.5000 0.0000 0.5000
0.3099 0.4651 0.4651
0.5000 0.5000 0.0000
0.0000 0.8449 0.5349
0.6901 0.1551 0.1551
0.0000 0.5349 0.8449
0.5606 0.3553 0.3553
0.4394 0.7947 0.7947
0.0000 0.6447 0.2053
0.0000 0.2053 0.6447
```

Results
As for the crystal system: tetragonal. Its space group is I-42m (121). The energy of formation from the pure elements is -0.11 eV per atom.

***

Entry 6:
First-principles (PBE-GGA) data for an optimized crystal structure of Ta2ZnSbMo, as listed in Alexandria via LeMat-Bulk.

The structure in POSCAR format:
```
Ta2ZnSbMo
1.0
5.0231 0.0000 0.0000
0.0000 4.8739 0.0000
0.0000 0.0000 5.0231
Zn Mo Ta Sb
1 1 2 1
Direct
0.5000 0.5000 0.5000
0.0000 0.5000 0.0000
0.0000 0.0000 0.5000
0.5000 0.0000 0.0000
0.0000 0.0000 0.0000
```

Results
As for the crystal system: tetragonal. Its space group is P4/mmm (123).

***

Entry 7:
First-principles (PBE-GGA) data for an optimized crystal structure of SmHo3Tm2S6, as listed in Alexandria via LeMat-Bulk.

The structure in POSCAR format:
```
SmHo3Tm2S6
1.0
6.7482 -0.0133 -0.0013
-3.3840 5.8384 -0.0013
-1.1235 -1.9453 6.3489
Tm Ho Sm S
2 3 1 6
Direct
0.3342 0.6658 0.0000
0.6658 0.3342 0.0000
0.5000 0.5000 0.5000
0.8383 0.1617 0.5000
0.1617 0.8383 0.5000
0.0000 0.0000 0.0000
0.7400 0.7400 0.2485
0.5729 0.9162 0.7479
0.9162 0.5729 0.7479
0.2600 0.2600 0.7515
0.4271 0.0838 0.2521
0.0838 0.4271 0.2521
```

Results
As for the crystal system: monoclinic. Its space group is C2/m (12).

***

Entry 8:
First-principles (PBE-GGA) data for an optimized crystal structure of CoReNi, as listed in Alexandria via LeMat-Bulk.

The structure in POSCAR format:
```
CoReNi
1.0
-2.1500 -2.2021 2.6327
3.4876 1.7030 1.1574
-1.2557 2.0839 0.7176
Ni Re Co
1 1 1
Direct
0.3333 0.6667 0.1666
0.6667 0.3333 0.6666
0.0000 0.0000 0.1668
```

Results
As for the crystal system: hexagonal. Its space group is P-6m2 (187). As for the offset from the most stable computed form: 0.0814 eV/atom. The energy of formation from the pure elements is 0.03 eV per atom.

***

Entry 9:
First-principles (PBE-GGA) data for an optimized crystal structure of As2WAu, as listed in Alexandria via LeMat-Bulk.

The structure in POSCAR format:
```
As2WAu
1.0
4.4887 0.0000 0.0000
0.0000 4.4887 0.0000
0.0000 0.0000 3.3411
Au W As
1 1 2
Direct
0.5000 0.0000 0.5000
0.0000 0.5000 0.5000
0.0000 0.0000 0.0000
0.5000 0.5000 0.0000
```

Results
As for the crystal system: tetragonal. Its space group is P4/mmm (123). As for the offset from the most stable computed form: 0.2833 eV/atom. The energy of formation from the pure elements is 0.46 eV per atom.

***

Entry 10:
First-principles (PBE-GGA) data for an optimized crystal structure of ErHfPdAu, as listed in Alexandria via LeMat-Bulk.

The structure in POSCAR format:
```
ErHfPdAu
1.0
4.8656 0.0000 0.0000
2.4328 4.2138 0.0000
2.4328 1.4046 3.9728
Er Au Hf Pd
1 1 1 1
Direct
0.7500 0.7500 0.7500
0.0000 0.0000 0.0000
0.2500 0.2500 0.2500
0.5000 0.5000 0.5000
```

Results
As for the crystal system: cubic. Its space group is F-43m (216). The energy of formation from the pure elements is -0.65 eV per atom.

***

Entry 11:
First-principles (PBE-GGA) data for an optimized crystal structure of Sm4Tm3Sc, as listed in Alexandria via LeMat-Bulk.

The structure in POSCAR format:
```
Sm4Tm3Sc
1.0
7.7641 0.0000 -4.0715
-2.1351 7.4647 -4.0715
-0.2712 -0.3597 8.9213
Tm Sm Sc
6 8 2
Direct
0.2500 0.2500 0.5000
0.7500 0.7500 0.5000
0.8494 0.3494 0.0000
0.1506 0.6506 0.0000
0.6506 0.8494 0.0000
0.3494 0.1506 0.0000
0.8125 0.3125 0.3258
0.3125 0.5133 0.3258
0.5133 0.0133 0.3258
0.4867 0.9867 0.6742
0.0133 0.8125 0.3258
0.6875 0.4867 0.6742
0.9867 0.1875 0.6742
0.1875 0.6875 0.6742
0.5000 0.5000 0.0000
0.0000 0.0000 0.0000
```

Results
As for the crystal system: tetragonal. Its space group is I4/mcm (140). As for the offset from the most stable computed form: 0.0704 eV/atom. The energy of formation from the pure elements is 0.10 eV per atom.

***

Entry 12:
First-principles (PBE-GGA) data for an optimized crystal structure of Tb5Nd6Sm, as listed in Alexandria via LeMat-Bulk.

The structure in POSCAR format:
```
Tb5Nd6Sm
1.0
-2.8936 -4.2277 0.3828
-2.7458 0.9965 -9.7946
8.8352 -2.6960 2.5784
Nd Tb Sm
6 5 1
Direct
0.8331 0.0837 0.6664
0.1668 0.4173 0.3336
0.1669 0.9163 0.3336
0.4999 0.2510 0.0000
0.8332 0.5827 0.6664
0.5001 0.7490 0.0000
0.3330 0.8331 0.6661
0.6670 0.1669 0.3339
0.6667 0.6667 0.3334
0.3333 0.3333 0.6666
0.0000 0.5000 0.0000
0.0000 0.0000 0.0000
```

Results
As for the crystal system: orthorhombic. Its space group is Immm (71). As for the offset from the most stable computed form: 0.0025 eV/atom. The energy of formation from the pure elements is 0.01 eV per atom.

***

Entry 13:
First-principles (PBE-GGA) data for an optimized crystal structure of K2MnVSe4, as listed in Alexandria via LeMat-Bulk.

The structure in POSCAR format:
```
K2MnVSe4
1.0
5.6635 0.0000 0.0000
2.8318 6.8619 0.0000
2.8318 0.0000 12.2869
V Se K Mn
2 8 4 2
Direct
0.2500 0.5000 0.5000
0.5000 0.0000 0.0000
0.5299 0.2974 0.6107
0.2201 0.2026 0.8893
0.4380 0.7026 0.3893
0.8906 0.7974 0.8893
0.3120 0.7974 0.1107
0.1727 0.2974 0.3893
0.5773 0.2026 0.1107
0.8594 0.7026 0.6107
0.1793 0.0000 0.6414
0.8207 0.0000 0.3586
0.5707 0.5000 0.8586
0.9293 0.5000 0.1414
0.7500 0.5000 0.5000
0.0000 0.0000 0.0000
```

Results
As for the crystal system: orthorhombic. Its space group is Fddd (70).

***

Entry 14:
First-principles (PBE-GGA) data for an optimized crystal structure of Y3Ho8Er, as listed in Alexandria via LeMat-Bulk.

The structure in POSCAR format:
```
Y3Ho8Er
1.0
6.6689 0.0000 -3.7725
-2.1340 6.3182 -3.7725
0.8467 1.1796 9.2775
Ho Er Y
8 1 3
Direct
0.3729 0.3729 0.2486
0.6271 0.1243 0.7514
0.6271 0.6271 0.7514
0.8757 0.8757 0.2486
0.8757 0.3729 0.2486
0.1243 0.6271 0.7514
0.1243 0.1243 0.7514
0.3729 0.8757 0.2486
0.0000 0.0000 0.0000
0.7500 0.2500 0.5000
0.2500 0.7500 0.5000
0.5000 0.5000 0.0000
```

Results
As for the crystal system: tetragonal. Its space group is I4/mmm (139). The energy of formation from the pure elements is 0.75 eV per atom.

***

Entry 15:
First-principles (PBE-GGA) data for an optimized crystal structure of LiNiRh2, as listed in Alexandria via LeMat-Bulk.

The structure in POSCAR format:
```
LiNiRh2
1.0
-1.3074 4.1222 1.2662
-2.7204 2.3725 2.6974
2.8676 0.6206 3.5899
Rh Li Ni
2 1 1
Direct
0.5084 0.5084 0.4971
0.9916 0.9916 0.0029
0.7500 0.7500 0.7500
0.2500 0.2500 0.2500
```

Results
As for the crystal system: monoclinic. Its space group is C2/m (12). As for the offset from the most stable computed form: 0.0192 eV/atom. The energy of formation from the pure elements is -0.04 eV per atom.

***

Entry 16:
First-principles (PBE-GGA) data for an optimized crystal structure of PrScV4, as listed in Alexandria via LeMat-Bulk.

The structure in POSCAR format:
```
PrScV4
1.0
5.3223 0.0000 0.0000
2.6611 4.6092 0.0000
2.6611 1.5364 4.3456
V Pr Sc
4 1 1
Direct
0.6284 0.1148 0.6284
0.6284 0.6284 0.6284
0.6284 0.6284 0.1148
0.1148 0.6284 0.6284
0.2500 0.2500 0.2500
0.0000 0.0000 0.0000
```

Results
As for the crystal system: cubic. Its space group is F-43m (216). The energy of formation from the pure elements is 0.34 eV per atom.

***

Entry 17:
First-principles (PBE-GGA) data for an optimized crystal structure of SbMo2Pt, as listed in Alexandria via LeMat-Bulk.

The structure in POSCAR format:
```
SbMo2Pt
1.0
-1.6193 -3.7703 -0.8533
-0.3613 -0.4887 2.8453
-5.4659 1.9851 1.6015
Mo Pt Sb
2 1 1
Direct
0.0000 0.6084 0.4737
0.0000 0.8916 0.0263
0.5000 0.2500 0.2500
0.5000 0.7500 0.7500
```

Results
As for the crystal system: monoclinic. Its space group is P2/m (10).

***

Entry 18:
First-principles (PBE-GGA) data for an optimized crystal structure of Ca3Cd5, as listed in Alexandria via LeMat-Bulk.

The structure in POSCAR format:
```
Ca3Cd5
1.0
6.5209 -0.1087 0.0000
-1.5479 6.3355 0.0000
0.0000 0.0000 10.7079
Cd Ca
10 6
Direct
0.5018 0.9275 0.2500
0.9843 0.9843 0.2500
0.0725 0.4982 0.7500
0.6863 0.6863 0.4510
0.3137 0.3137 0.9510
0.0157 0.0157 0.7500
0.4982 0.0725 0.7500
0.9275 0.5018 0.2500
0.3137 0.3137 0.5490
0.6863 0.6863 0.0490
0.2055 0.7945 0.5000
0.3803 0.3803 0.2500
0.7945 0.2055 0.0000
0.7945 0.2055 0.5000
0.2055 0.7945 0.0000
0.6197 0.6197 0.7500
```

Results
As for the crystal system: orthorhombic. Its space group is Cmcm (63). As for the offset from the most stable computed form: 0.0000 eV/atom. The energy of formation from the pure elements is -0.30 eV per atom.

***

Entry 19:
First-principles (PBE-GGA) data for an optimized crystal structure of TmPaCo2P2, as listed in Alexandria via LeMat-Bulk.

The structure in POSCAR format:
```
TmPaCo2P2
1.0
3.8646 0.0000 0.0000
-1.9323 3.3469 0.0000
0.0000 0.0000 7.5740
Tm P Co Pa
1 2 2 1
Direct
0.0000 0.0000 0.5000
0.3333 0.6667 0.2661
0.6667 0.3333 0.7339
0.6667 0.3333 0.2222
0.3333 0.6667 0.7778
0.0000 0.0000 0.0000
```

Results
As for the crystal system: trigonal. Its space group is P-3m1 (164). The energy of formation from the pure elements is -1.14 eV per atom.

***

Entry 20:
First-principles (PBE-GGA) data for an optimized crystal structure of Na3InPb4, as listed in Alexandria via LeMat-Bulk.

The structure in POSCAR format:
```
Na3InPb4
1.0
0.5469 -4.7204 1.3642
4.4834 1.0400 1.8011
-6.2801 3.8223 6.7848
In Pb Na
1 4 3
Direct
0.5000 0.0000 0.0000
0.8772 0.8756 0.7543
0.3771 0.3737 0.7543
0.6229 0.6263 0.2457
0.1228 0.1244 0.2457
0.2491 0.7494 0.4983
0.0000 0.5000 0.0000
0.7509 0.2506 0.5017
```

Results
As for the crystal system: monoclinic. Its space group is C2/m (12). As for the offset from the most stable computed form: 0.0000 eV/atom. The energy of formation from the pure elements is -0.11 eV per atom.

***

Per-record uncorrected energy, eV per atom: -4.493, -4.357, -8.766, -2.912, -8.745, -6.056, -6.316, -8.418, -5.920, -6.399, -4.725, -4.693, -5.207, -4.298, -5.643, -7.592, -7.791, -1.625, -7.636, -2.803